Crystalline HfCo2TcO at its relaxed geometry, computed with PBE with a Hubbard U.

Geometry as POSCAR:
```
HfCo2TcO
1.0
3.987 0.000 0.000
0.000 3.987 0.000
0.000 0.000 4.190
Hf Co Tc O
1 2 1 1
Direct
0.000 0.000 0.000
0.000 0.500 0.500
0.500 0.000 0.500
0.500 0.500 0.000
0.000 0.000 0.500
```

Computed properties:
Symmetry   P4/mmm
Total DFT energy (no corrections)   -7.31 eV/atom
M_tot   4.56 μB/cell